Below is a relaxed structure of LaTaBi2, with properties calculated at the PBE level.

Its total energy is -97.6 eV per cell. The calculation puts the energy relative to the elements at 0.1 eV/f.u. Its total magnetization is 0.00 μB per formula unit. The density of states at the Fermi level comes out at 1.099 states/eV per atom.

It has space group Fm-3m (No. 225), with a = 7.504 Å, b = 7.504 Å, c = 7.504 Å, α = 90.00°, β = 90.00° and γ = 90.00°. Symmetry generates all atoms from La at (0.000, 0.000, 0.000), Ta at (0.000, 0.000, 0.500) and Bi at (0.250, 0.250, 0.250).